1.
An optimized crystal structure of Pr6SnS5. Source: the Alexandria database, functional PBE-GGA.

Its total magnetization is 0.0 μB/cell. Its calculated total energy is -149.39 eV per cell. The uncorrected formation energy comes out at -1.781 eV per atom.

The structure in CIF format:
```
data_Pr6SnS5
_chemical_formula_sum 'Pr12 Sn2 S10'
_space_group_name_H-M_alt 'C 1 2/m 1'
_space_group_IT_number 12
_cell_length_a 7.2540
_cell_length_b 12.5726
_cell_length_c 7.2750
_cell_angle_alpha 90.00
_cell_angle_beta 109.48
_cell_angle_gamma 90.00
loop_
_space_group_symop_operation_xyz
'x,y,z'
'-x,-y,-z'
'-x,y,-z'
'x,-y,z'
'x+1/2,y+1/2,z'
'-x+1/2,-y+1/2,-z'
'-x+1/2,y+1/2,-z'
'x+1/2,-y+1/2,z'
loop_
_atom_site_label
_atom_site_type_symbol
_atom_site_fract_x
_atom_site_fract_y
_atom_site_fract_z
Pr1 Pr 0.2398 0.0000 0.2565
Pr2 Pr 0.2411 0.1725 0.7406
Sn1 Sn 0.0000 0.5000 0.0000
S1 S 0.0000 0.0000 0.5000
S2 S 0.0000 0.1680 0.0000
S3 S 0.0000 0.3388 0.5000
```

=====

2.
An optimized crystal structure of Ca2IrN3. Source: the Alexandria database, functional PBE-GGA.

Its total magnetization is 0.0 μB/cell. Its calculated total energy is -315.74 eV per cell. The uncorrected formation energy comes out at -0.271 eV per atom.

The structure in CIF format:
```
data_Ca2IrN3
_chemical_formula_sum 'Ca16 Ir8 N24'
_space_group_name_H-M_alt 'C m c e'
_space_group_IT_number 64
_space_group_name_Hall '-C 2ac 2'
_cell_length_a 5.6022
_cell_length_b 10.8713
_cell_length_c 11.9327
_cell_angle_alpha 90.00
_cell_angle_beta 90.00
_cell_angle_gamma 90.00
loop_
_atom_site_label
_atom_site_type_symbol
_atom_site_fract_x
_atom_site_fract_y
_atom_site_fract_z
Ca1 Ca 0.0000 0.0484 0.1493
Ca2 Ca 0.0000 0.1338 0.5756
Ir1 Ir 0.0000 0.2491 0.3484
N1 N 0.0000 0.0666 0.3582
N2 N 0.0000 0.1555 0.9786
N3 N 0.2500 0.2040 0.7500
```

=====

3.
An optimized crystal structure of PmPr6Tl2. Source: the Alexandria database, functional PBE-GGA.

Its total magnetization is 0.0 μB/cell. Its calculated total energy is -79.10 eV per cell. The value obtained for the energy relative to the elements is -0.1547 eV per atom.

The structure in CIF format:
```
data_PmPr6Tl2
_chemical_formula_sum 'Pm2 Pr12 Tl4'
_space_group_name_H-M_alt 'C 1 2/m 1'
_space_group_IT_number 12
_cell_length_a 12.5954
_cell_length_b 5.5922
_cell_length_c 10.5834
_cell_angle_alpha 90.00
_cell_angle_beta 125.64
_cell_angle_gamma 90.00
loop_
_space_group_symop_operation_xyz
'x,y,z'
'-x,-y,-z'
'-x,y,-z'
'x,-y,z'
'x+1/2,y+1/2,z'
'-x+1/2,-y+1/2,-z'
'-x+1/2,y+1/2,-z'
'x+1/2,-y+1/2,z'
loop_
_atom_site_label
_atom_site_type_symbol
_atom_site_fract_x
_atom_site_fract_y
_atom_site_fract_z
Pm1 Pm 0.0000 0.0000 0.0000
Pr1 Pr 0.0896 0.0000 0.4133
Pr2 Pr 0.1481 0.5000 0.6791
Pr3 Pr 0.2178 0.5000 0.0691
Tl1 Tl 0.0957 0.5000 0.2639
```

=====

4.
An optimized crystal structure of Ta2BeIr. Source: the Alexandria database, functional PBE-GGA.

Its total magnetization is 0.0 μB/cell. Its calculated total energy is -108.93 eV per cell. The value obtained for the energy relative to the elements is -0.0044 eV per atom.

The structure in CIF format:
```
data_Ta2BeIr
_chemical_formula_sum 'Ta6 Be3 Ir3'
_space_group_name_H-M_alt 'R 3 m'
_space_group_IT_number 160
_space_group_name_Hall 'R 3 -2"'
_cell_length_a 2.9441
_cell_length_b 2.9441
_cell_length_c 24.4352
_cell_angle_alpha 90.00
_cell_angle_beta 90.00
_cell_angle_gamma 120.00
loop_
_atom_site_label
_atom_site_type_symbol
_atom_site_fract_x
_atom_site_fract_y
_atom_site_fract_z
Ta1 Ta 0.0000 0.0000 0.0000
Ta2 Ta 0.0000 0.0000 0.2333
Be1 Be 0.0000 0.0000 0.7452
Ir1 Ir 0.0000 0.0000 0.4760
```

=====

5.
An optimized crystal structure of La2CeCo. Source: the Alexandria database, functional PBE-GGA.

Its total magnetization is 5.6 μB/cell. Its calculated total energy is -67.59 eV per cell. The value obtained for the energy relative to the elements is 0.0915 eV per atom.

The structure in CIF format:
```
data_La2CeCo
_chemical_formula_sum 'La6 Ce3 Co3'
_space_group_name_H-M_alt 'R 3 m'
_space_group_IT_number 160
_space_group_name_Hall 'R 3 -2"'
_cell_length_a 3.8753
_cell_length_b 3.8753
_cell_length_c 28.2041
_cell_angle_alpha 90.00
_cell_angle_beta 90.00
_cell_angle_gamma 120.00
loop_
_atom_site_label
_atom_site_type_symbol
_atom_site_fract_x
_atom_site_fract_y
_atom_site_fract_z
La1 La 0.0000 0.0000 0.0000
La2 La 0.0000 0.0000 0.2196
Ce1 Ce 0.0000 0.0000 0.4441
Co1 Co 0.0000 0.0000 0.6088
```

=====

6.
An optimized crystal structure of LaV2CuPd. Source: the Alexandria database, functional PBE-GGA.

Its total magnetization is 5.8 μB/cell. Its calculated total energy is -29.94 eV per cell. The value obtained for the energy relative to the elements is 0.5029 eV per atom.

The structure in CIF format:
```
data_LaV2CuPd
_chemical_formula_sum 'La1 V2 Cu1 Pd1'
_space_group_name_H-M_alt 'P 4/m m m'
_space_group_IT_number 123
_space_group_name_Hall '-P 4 2'
_cell_length_a 4.6287
_cell_length_b 4.6287
_cell_length_c 4.8683
_cell_angle_alpha 90.00
_cell_angle_beta 90.00
_cell_angle_gamma 90.00
loop_
_atom_site_label
_atom_site_type_symbol
_atom_site_fract_x
_atom_site_fract_y
_atom_site_fract_z
La1 La 0.0000 0.0000 0.0000
V1 V 0.0000 0.5000 0.5000
Cu1 Cu 0.5000 0.5000 0.5000
Pd1 Pd 0.5000 0.5000 0.0000
```

=====

7.
An optimized crystal structure of TlTeP2. Source: the Alexandria database, functional PBE-GGA.

Its total magnetization is 0.0 μB/cell. Its calculated total energy is -53.17 eV per cell. The uncorrected formation energy comes out at 0.759 eV per atom.

The structure in CIF format:
```
data_TlTeP2
_chemical_formula_sum 'Tl4 Te4 P8'
_space_group_name_H-M_alt 'F -4 3 m'
_space_group_IT_number 216
_space_group_name_Hall 'F -4 2 3'
_cell_length_a 7.1063
_cell_length_b 7.1063
_cell_length_c 7.1063
_cell_angle_alpha 90.00
_cell_angle_beta 90.00
_cell_angle_gamma 90.00
loop_
_atom_site_label
_atom_site_type_symbol
_atom_site_fract_x
_atom_site_fract_y
_atom_site_fract_z
Tl1 Tl 0.0000 0.0000 0.0000
Te1 Te 0.2500 0.2500 0.7500
P1 P 0.0000 0.0000 0.5000
P2 P 0.2500 0.2500 0.2500
```

=====

8.
An optimized crystal structure of La2NdTmTh. Source: the Alexandria database, functional PBE-GGA.

Its total magnetization is 0.0 μB/cell. Its calculated total energy is -49.99 eV per cell. The value obtained for the energy relative to the elements is 0.3039 eV per atom.

The structure in CIF format:
```
data_La2NdTmTh
_chemical_formula_sum 'La4 Nd2 Tm2 Th2'
_space_group_name_H-M_alt 'P 1 2/c 1'
_space_group_IT_number 13
_cell_length_a 9.2145
_cell_length_b 6.3703
_cell_length_c 6.5679
_cell_angle_alpha 90.00
_cell_angle_beta 110.42
_cell_angle_gamma 90.00
loop_
_space_group_symop_operation_xyz
'x,y,z'
'-x,-y,-z'
'-x,y,-z+1/2'
'x,-y,z+1/2'
loop_
_atom_site_label
_atom_site_type_symbol
_atom_site_fract_x
_atom_site_fract_y
_atom_site_fract_z
La1 La 0.1857 0.1914 0.3423
Nd1 Nd 0.0000 0.3360 0.7500
Tm1 Tm 0.5000 0.0016 0.7500
Th1 Th 0.5000 0.5000 0.0000
```

=====

9.
An optimized crystal structure of SmDyEr2. Source: the Alexandria database, functional PBE-GGA.

Its total magnetization is 0.0 μB/cell. Its calculated total energy is -18.36 eV per cell. The value obtained for the energy relative to the elements is 0.0222 eV per atom.

The structure in CIF format:
```
data_SmDyEr2
_chemical_formula_sum 'Sm1 Dy1 Er2'
_space_group_name_H-M_alt 'P 4/m m m'
_space_group_IT_number 123
_space_group_name_Hall '-P 4 2'
_cell_length_a 5.0172
_cell_length_b 5.0172
_cell_length_c 5.0014
_cell_angle_alpha 90.00
_cell_angle_beta 90.00
_cell_angle_gamma 90.00
loop_
_atom_site_label
_atom_site_type_symbol
_atom_site_fract_x
_atom_site_fract_y
_atom_site_fract_z
Sm1 Sm 0.0000 0.0000 0.0000
Dy1 Dy 0.5000 0.5000 0.0000
Er1 Er 0.0000 0.5000 0.5000
```

=====

10.
An optimized crystal structure of K2BaSn2. Source: the Alexandria database, functional PBE-GGA.

Its total magnetization is 0.0 μB/cell. Its calculated total energy is -25.38 eV per cell. The value obtained for the energy relative to the elements is -0.1137 eV per atom.

The structure in CIF format:
```
data_K2BaSn2
_chemical_formula_sum 'K4 Ba2 Sn4'
_space_group_name_H-M_alt 'P 4/m b m'
_space_group_IT_number 127
_space_group_name_Hall '-P 4 2ab'
_cell_length_a 10.2285
_cell_length_b 10.2285
_cell_length_c 3.6196
_cell_angle_alpha 90.00
_cell_angle_beta 90.00
_cell_angle_gamma 90.00
loop_
_atom_site_label
_atom_site_type_symbol
_atom_site_fract_x
_atom_site_fract_y
_atom_site_fract_z
K1 K 0.1160 0.3840 0.0000
Ba1 Ba 0.0000 0.0000 0.0000
Sn1 Sn 0.1830 0.6830 0.5000
```

=====

11.
An optimized crystal structure of SmNiSn6. Source: the Alexandria database, functional PBE-GGA.

Its total magnetization is 0.0 μB/cell. Its calculated total energy is -71.79 eV per cell. The value obtained for the energy relative to the elements is -0.1723 eV per atom.

The structure in CIF format:
```
data_SmNiSn6
_chemical_formula_sum 'Sm2 Ni2 Sn12'
_space_group_name_H-M_alt 'C 1 2/m 1'
_space_group_IT_number 12
_cell_length_a 6.3923
_cell_length_b 10.7504
_cell_length_c 6.6711
_cell_angle_alpha 90.00
_cell_angle_beta 116.57
_cell_angle_gamma 90.00
loop_
_space_group_symop_operation_xyz
'x,y,z'
'-x,-y,-z'
'-x,y,-z'
'x,-y,z'
'x+1/2,y+1/2,z'
'-x+1/2,-y+1/2,-z'
'-x+1/2,y+1/2,-z'
'x+1/2,-y+1/2,z'
loop_
_atom_site_label
_atom_site_type_symbol
_atom_site_fract_x
_atom_site_fract_y
_atom_site_fract_z
Sm1 Sm 0.0000 0.0000 0.0000
Ni1 Ni 0.0000 0.0000 0.5000
Sn1 Sn 0.0618 0.5000 0.2899
Sn2 Sn 0.1289 0.2259 0.7474
```

=====

12.
An optimized crystal structure of LiPuSc2. Source: the Alexandria database, functional PBE-GGA.

Its total magnetization is 6.8 μB/cell. Its calculated total energy is -28.08 eV per cell. The value obtained for the energy relative to the elements is 0.2074 eV per atom.

The structure in CIF format:
```
data_LiPuSc2
_chemical_formula_sum 'Li1 Pu1 Sc2'
_space_group_name_H-M_alt 'P 4/m m m'
_space_group_IT_number 123
_space_group_name_Hall '-P 4 2'
_cell_length_a 5.2432
_cell_length_b 5.2432
_cell_length_c 3.3620
_cell_angle_alpha 90.00
_cell_angle_beta 90.00
_cell_angle_gamma 90.00
loop_
_atom_site_label
_atom_site_type_symbol
_atom_site_fract_x
_atom_site_fract_y
_atom_site_fract_z
Li1 Li 0.0000 0.0000 0.0000
Pu1 Pu 0.5000 0.5000 0.0000
Sc1 Sc 0.0000 0.5000 0.5000
```